[1]
GGA-PBE Sm2ErRu2, relaxed; Fermi-level density of states = 3.77 states/eV per cell; space group = Immm, No. 71
1.0
-2.234 2.157 3.011
-4.074 -3.337 2.477
1.179 -1.924 5.366
Sm Er Ru
2 1 2
Direct
0.302 0.199 0.699
0.698 0.801 0.301
0.500 0.500 0.000
0.000 0.218 0.282
0.000 0.782 0.718

[2]
GGA-PBE SmErRu4, relaxed; Fermi-level density of states = 6.46 states/eV per cell; space group = F-43m, No. 216
1.0
-0.009 5.300 0.741
-4.617 2.706 -0.082
-1.972 2.066 4.526
Ru Sm Er
4 1 1
Direct
0.625 0.625 0.124
0.625 0.124 0.625
0.625 0.625 0.625
0.124 0.625 0.625
0.250 0.250 0.250
0.000 0.000 0.000

[3]
GGA-PBE SmErRu, relaxed; Fermi-level density of states = 1.51 states/eV per cell; E above lowest polymorph = 12.8 meV/atom; space group = I4mm, No. 107
1.0
-2.584 1.546 -1.615
-0.426 -2.763 -1.965
-2.710 -1.858 6.172
Ru Sm Er
1 1 1
Direct
0.671 0.671 0.341
0.038 0.038 0.076
0.291 0.291 0.583

| no. | energy relative to the elements (eV per atom) |
| --- | --- |
| 1 | -0.26 |
| 2 | -0.26 |
| 3 | -0.30 |